Entry 1
{
  "formula": "LaMo",
  "functional": "PBE-GGA",
  "state": "optimized geometry",
  "cell": [[3.302, 0.000, 0.000], [0.000, 9.756, 0.000], [0.000, 0.000, 9.567]],
  "species": ["La", "La", "La", "La", "La", "La", "Mo", "Mo", "Mo", "Mo", "Mo", "Mo"],
  "fractional_positions": [[0.250, 0.082, 0.139], [0.250, 0.418, 0.139], [0.250, 0.750, 0.293], [0.750, 0.250, 0.707], [0.750, 0.582, 0.861], [0.750, 0.918, 0.861], [0.250, 0.250, 0.419], [0.250, 0.527, 0.598], [0.250, 0.973, 0.598], [0.750, 0.027, 0.402], [0.750, 0.473, 0.402], [0.750, 0.750, 0.581]]
}



Entry 2
{
  "formula": "LaMo",
  "functional": "PBE-GGA",
  "state": "optimized geometry",
  "cell": [[-5.670, 5.670, 1.882], [5.670, -5.670, 1.882], [5.670, 5.670, -1.882]],
  "species": ["La", "La", "La", "La", "Mo", "Mo", "Mo", "Mo"],
  "fractional_positions": [[0.000, 0.295, 0.295], [0.000, 0.705, 0.705], [0.295, 0.000, 0.295], [0.705, 0.000, 0.705], [0.299, 0.299, 0.599], [0.299, 0.701, 0.000], [0.701, 0.299, 0.000], [0.701, 0.701, 0.401]]
}



The most stable of them is entry 1.



Entry 1
{
  "formula": "BaWSe2",
  "functional": "PBE-GGA",
  "state": "optimized geometry",
  "cell": [[3.647, 0.000, 0.000], [0.000, 3.647, 0.000], [0.000, 0.000, 8.156]],
  "species": ["Ba", "W", "Se", "Se"],
  "fractional_positions": [[0.000, 0.000, 0.000], [0.500, 0.500, 0.521], [0.000, 0.000, 0.613], [0.500, 0.500, 0.219]]
}



Entry 2
{
  "formula": "BaWSe2",
  "functional": "PBE-GGA",
  "state": "optimized geometry",
  "cell": [[3.364, 0.000, 0.000], [0.000, 3.364, 0.000], [0.000, 0.000, 9.321]],
  "species": ["Ba", "W", "Se", "Se"],
  "fractional_positions": [[0.000, 0.000, 0.000], [0.500, 0.500, 0.705], [0.000, 0.000, 0.595], [0.500, 0.500, 0.243]]
}



The most stable of them is entry 1.